No. 1
## CaTlIn4 (PBEsol)

Data for a geometry-optimized CaTlIn4 structure.

a b c (Å): 6.0916 6.0916 6.0916
angles (deg): 60.00 60.00 60.00
Closest atoms and distances in Å follow each position.
Fractional coordinates of all 6 atoms:
Ca 0.0000 0.0000 0.0000  12 In 3.57, 4 Tl 3.73
In 0.3753 0.8742 0.3753  6 In 3.04-3.05
In 0.3753 0.3753 0.8742  6 In 3.04-3.05
In 0.8742 0.3753 0.3753  6 In 3.04-3.05
In 0.3753 0.3753 0.3753  6 In 3.04-3.05
Tl 0.7500 0.7500 0.7500  12 In 3.57, 4 Ca 3.73

## Properties
V: 159.84 Å³/f.u.
SG: F-43m, No. 216
formation energy: -0.17 eV/atom
magnetization: 0.0 Bohr magnetons per cell

=====

No. 2
## CaTlIn2 (PBEsol)

Data for a geometry-optimized CaTlIn2 structure.

a b c (Å): 4.7614 4.6173 4.6173
angles (deg): 90.02 90.00 90.00
Closest atoms and distances in Å follow each position.
Fractional coordinates of all 4 atoms:
Tl 0.5000 0.0000 0.0000  4 Ca 3.26-3.27, 8 In 3.32
In 0.0000 0.0000 0.5000  4 In 3.26-3.27, 4 Ca 3.32, 4 Tl 3.32
In 0.0000 0.5000 0.0000  4 In 3.26-3.27, 4 Tl 3.32, 4 Ca 3.32
Ca 0.5000 0.5000 0.5000  4 Tl 3.26-3.27, 8 In 3.32

## Properties
V: 101.51 Å³/f.u.
SG: P4/mmm, No. 123
formation energy: -0.34 eV/atom
magnetization: 0.0 Bohr magnetons per cell

=====

No. 3
## Ca2Tl2In (PBEsol)

Data for a geometry-optimized Ca2Tl2In structure.

a b c (Å): 4.8616 4.8616 7.4513
angles (deg): 109.04 109.04 90.00
Closest atoms and distances in Å follow each position.
Fractional coordinates of all 5 atoms:
Ca 0.7500 0.2500 0.5000  4 Tl 3.12, 4 Ca 3.44
Ca 0.2500 0.7500 0.5000  4 Tl 3.12, 4 Ca 3.44
In 0.0000 0.0000 0.0000  8 Tl 3.69, 8 Ca 4.10
Tl 0.6022 0.6022 0.2044  1 Tl 2.70
Tl 0.3978 0.3978 0.7956  1 Tl 2.70

## Properties
V: 156.25 Å³/f.u.
SG: I4/mmm, No. 139
formation energy: -0.01 eV/atom
magnetization: 0.0 Bohr magnetons per cell
ΔE to the lowest computed polymorph: 350.3 meV per atom

=====

No. 4
## CaInW (PBEsol)

Data for a geometry-optimized CaInW structure.

a b c (Å): 4.7750 4.7750 4.7750
angles (deg): 60.00 60.00 60.00
Closest atoms and distances in Å follow each position.
Fractional coordinates of all 3 atoms:
Ca 0.5000 0.5000 0.5000  4 In 2.92
W 0.0000 0.0000 0.0000  4 In 2.92
In 0.2500 0.2500 0.2500  4 Ca 2.92, 4 W 2.92

## Properties
V: 76.99 Å³/f.u.
SG: F-43m, No. 216
formation energy: 1.18 eV/atom
magnetization: 2.5 Bohr magnetons per cell
ΔE to the lowest computed polymorph: 726.4 meV per atom

=====

No. 5
## CaIn2W (PBEsol)

Data for a geometry-optimized CaIn2W structure.

a b c (Å): 2.9674 5.4103 5.4103
angles (deg): 110.93 90.00 90.00
Closest atoms and distances in Å follow each position.
Fractional coordinates of all 4 atoms:
W 0.5000 0.0000 0.0000  2 W 2.97, 2 Ca 3.07, 8 In 3.09
In 0.0000 0.0000 0.5000  4 In 2.97-3.07, 4 W 3.09, 4 Ca 3.09
In 0.0000 0.5000 0.0000  4 In 2.97-3.07, 4 Ca 3.09, 4 W 3.09
Ca 0.5000 0.5000 0.5000  2 Ca 2.97, 2 W 3.07, 8 In 3.09

## Properties
V: 81.13 Å³/f.u.
SG: Cmmm, No. 65
formation energy: 0.39 eV/atom
magnetization: 0.0 Bohr magnetons per cell
ΔE to the lowest computed polymorph: 0.0 meV per atom

=====

No. 6
## Ca3InW (PBEsol)

Data for a geometry-optimized Ca3InW structure.

a b c (Å): 5.4326 5.4326 5.4326
angles (deg): 90.00 90.00 90.00
Closest atoms and distances in Å follow each position.
Fractional coordinates of all 5 atoms:
W 0.0000 0.0000 0.0000  6 Ca 2.72
Ca 0.5000 0.0000 0.0000  2 W 2.72
Ca 0.0000 0.0000 0.5000  2 W 2.72
Ca 0.0000 0.5000 0.0000  2 W 2.72
In 0.5000 0.5000 0.5000  12 Ca 3.84

## Properties
V: 160.33 Å³/f.u.
SG: Pm-3m, No. 221
formation energy: 0.94 eV/atom
magnetization: 0.0 Bohr magnetons per cell
ΔE to the lowest computed polymorph: 0.0 meV per atom

=====

No. 7
## CaInW2 (PBEsol)

Data for a geometry-optimized CaInW2 structure.

a b c (Å): 3.4957 4.4392 4.8117
angles (deg): 90.00 90.00 90.00
Closest atoms and distances in Å follow each position.
Fractional coordinates of all 4 atoms:
W 0.5000 0.5000 0.0000  4 W 2.83, 4 In 2.97
W 0.0000 0.0000 0.0000  4 W 2.83, 4 Ca 2.97
In 0.0000 0.5000 0.5000  4 Ca 2.83, 4 W 2.97
Ca 0.5000 0.0000 0.5000  4 In 2.83, 4 W 2.97

## Properties
V: 74.67 Å³/f.u.
SG: Pmmm, No. 47
formation energy: 0.74 eV/atom
magnetization: 0.0 Bohr magnetons per cell

=====

No. 8
## CaInW2 (PBEsol)

Data for a geometry-optimized CaInW2 structure.

a b c (Å): 2.8002 2.8002 9.6461
angles (deg): 90.00 90.00 90.00
Closest atoms and distances in Å follow each position.
Fractional coordinates of all 4 atoms:
Ca 0.0000 0.0000 0.4952  4 Ca 2.80
W 0.0000 0.0000 0.0025  8 W 2.80-2.97, 4 In 2.99
W 0.5000 0.5000 0.2319  8 W 2.80-2.97
In 0.5000 0.5000 0.7704  4 In 2.80, 4 W 2.99

## Properties
V: 75.63 Å³/f.u.
SG: P4mm, No. 99
formation energy: 0.60 eV/atom
magnetization: 0.0 Bohr magnetons per cell